VASP calculation (GGA-PBEsol) on ScNiPO2 after structural relaxation. Values from VASP.

Geometry as Quantum ESPRESSO input:
```
&SYSTEM
  ibrav = 0, nat = 5, ntyp = 4
/
ATOMIC_SPECIES
Sc 44.96 Sc.upf
Ni 58.69 Ni.upf
P 30.97 P.upf
O 16.00 O.upf
ATOMIC_POSITIONS crystal
Sc 0.000 0.000 0.000
Ni 0.500 0.500 0.500
P 0.500 0.500 0.000
O 0.000 0.500 0.500
O 0.500 0.000 0.500
CELL_PARAMETERS angstrom
3.727 0.000 0.000
0.000 3.727 0.000
0.000 0.000 4.358
```

ΔE_f (raw) = -829 meV per atom
D(E_F) = 3.6 states/eV/cell
E = -6.639 eV/atom
Size of the total moment = 0.0 μB/cell

VASP calculation (GGA-PBEsol) on BaScW2 after structural relaxation. Values from VASP.

Geometry as Quantum ESPRESSO input:
```
&SYSTEM
  ibrav = 0, nat = 4, ntyp = 3
/
ATOMIC_SPECIES
Ba 137.33 Ba.upf
Sc 44.96 Sc.upf
W 183.84 W.upf
ATOMIC_POSITIONS crystal
Ba 0.000 0.000 0.000
Sc 0.500 0.500 0.368
W 0.000 0.000 0.564
W 0.500 0.500 0.710
CELL_PARAMETERS angstrom
3.258 0.000 0.000
0.000 3.258 0.000
0.000 0.000 8.790
```

E_form = 2.0 eV/f.u.
D(E_F) = 4.6 states/eV/cell
E = -8.583 eV/atom
Size of the total moment = 0.0 μB/cell